# MnNiP

A relaxed MnNiP crystal (GGA-PBE, Alexandria).

The structure in POSCAR format:
```
MnNiP
1.0
0.000 2.731 2.731
2.731 0.000 2.731
2.731 2.731 0.000
Mn Ni P
1 1 1
direct
0.000 0.000 0.000
0.750 0.750 0.750
0.500 0.500 0.500
```

Results
For the energy of formation from the pure elements, the calculation gives -0.292 eV/atom. The calculation puts the total magnetization at 1.334 μB/atom.


# Mn3NiP

A relaxed Mn3NiP crystal (GGA-PBE, Alexandria).

The structure in POSCAR format:
```
Mn3NiP
1.0
4.462 0.000 0.000
0.000 4.462 0.000
0.000 0.000 4.462
Mn Ni P
3 1 1
direct
0.000 0.000 0.500
0.000 0.500 0.000
0.500 0.000 0.000
0.000 0.000 0.000
0.500 0.500 0.500
```

Results
For the energy of formation from the pure elements, the calculation gives 0.807 eV/atom. The calculation puts the total magnetization at 2.482 μB/atom.


# Mn3NiP2

A relaxed Mn3NiP2 crystal (GGA-PBE, Alexandria).

The structure in POSCAR format:
```
Mn3NiP2
1.0
3.484 0.000 0.000
0.000 6.790 0.000
0.000 0.000 5.883
Mn Ni P
6 2 4
direct
0.000 0.082 0.000
0.000 0.311 0.605
0.000 0.689 0.105
0.000 0.918 0.500
0.500 0.415 0.936
0.500 0.585 0.436
0.500 0.181 0.319
0.500 0.819 0.819
0.000 0.383 0.232
0.000 0.617 0.732
0.500 0.128 0.705
0.500 0.872 0.205
```

Results
For the energy of formation from the pure elements, the calculation gives -0.532 eV/atom. The calculation puts the total magnetization at 0.850 μB/atom.


# MnNiP4

A relaxed MnNiP4 crystal (GGA-PBE, Alexandria).

The structure in POSCAR format:
```
MnNiP4
1.0
0.000 3.502 3.502
3.502 0.000 3.502
3.502 3.502 0.000
Mn Ni P
1 1 4
direct
0.000 0.000 0.000
0.250 0.250 0.250
0.133 0.622 0.622
0.622 0.133 0.622
0.622 0.622 0.133
0.622 0.622 0.622
```

Results
For the energy of formation from the pure elements, the calculation gives 0.635 eV/atom. The calculation puts the total magnetization at 0.699 μB/atom.